(1)
Material: Rb2HgPdF6
Method: DFT, PBE
State: relaxed

Lattice parameters (Å, degrees): 6.3624 6.3624 6.3624 60.00 60.00 60.00
With the nearest neighbours (Å) after each atom.
Fractional coordinates of all 10 atoms:
1 F 0.2415 0.7585 0.7585  1 Pd 2.17, 1 Hg 2.33
2 F 0.7585 0.2415 0.7585  1 Pd 2.17, 1 Hg 2.33
3 F 0.2415 0.7585 0.2415  1 Pd 2.17, 1 Hg 2.33
4 F 0.2415 0.2415 0.7585  1 Pd 2.17, 1 Hg 2.33
5 F 0.7585 0.2415 0.2415  1 Pd 2.17, 1 Hg 2.33
6 F 0.7585 0.7585 0.2415  1 Pd 2.17, 1 Hg 2.33
7 Rb 0.2500 0.2500 0.2500  12 F 3.18
8 Rb 0.7500 0.7500 0.7500  12 F 3.18
9 Hg 0.5000 0.5000 0.5000  6 F 2.33
10 Pd 0.0000 0.0000 0.0000  6 F 2.17

The calculation puts the magnetization at 1.54 μB per cell. The uncorrected formation energy comes out at -1.900 eV per atom. For the calculated total energy, the calculation gives -3.77 eV/atom.

=====

(2)
Material: RbHgPd2F8
Method: DFT, PBE
State: relaxed

Lattice parameters (Å, degrees): 4.5862 5.3369 8.8426 83.69 88.65 81.75
With the nearest neighbours (Å) after each atom.
Fractional coordinates of all 12 atoms:
1 Pd 0.5125 0.4947 0.2086  4 F 1.95-2.00
2 Pd 0.4875 0.5053 0.7914  4 F 1.95-2.00
3 F 0.4019 0.2833 0.9796  1 Pd 2.00
4 F 0.4357 0.2946 0.3991  1 Pd 1.95
5 F 0.1452 0.7393 0.2275  1 Pd 1.99
6 F 0.8548 0.2607 0.7725  1 Pd 1.99
7 F 0.8848 0.2536 0.1917  1 Pd 2.00
8 F 0.5981 0.7167 0.0204  1 Pd 2.00
9 F 0.1152 0.7464 0.8083  1 Pd 2.00
10 F 0.5643 0.7054 0.6009  1 Pd 1.95
11 Rb 0.0000 0.0000 0.5000  8 F 2.79-2.93
12 Hg 0.0000 0.0000 0.0000  6 F 2.29-2.54

The calculation puts the magnetization at 1.04 μB per cell. The uncorrected formation energy comes out at -1.547 eV per atom. For the calculated total energy, the calculation gives -3.77 eV/atom.

=====

(3)
Material: RbHg2PdF8
Method: DFT, PBE
State: relaxed

Lattice parameters (Å, degrees): 4.9570 5.5832 7.7625 96.96 91.22 91.00
With the nearest neighbours (Å) after each atom.
Fractional coordinates of all 12 atoms:
1 Hg 0.4654 0.4806 0.2375  2 F 2.08-2.10
2 Hg 0.5346 0.5194 0.7625  2 F 2.08-2.10
3 F 0.1006 0.7602 0.7986  1 Pd 2.01
4 F 0.8994 0.2398 0.2014  1 Pd 2.01
5 F 0.1219 0.7869 0.1710  1 Pd 1.98
6 F 0.6278 0.7575 0.9878  1 Hg 2.10, 1 Pd 2.26
7 F 0.3722 0.2425 0.0122  1 Hg 2.10, 1 Pd 2.26
8 F 0.8781 0.2131 0.8290  1 Pd 1.98
9 F 0.5269 0.7278 0.4576  1 Hg 2.08
10 F 0.4731 0.2722 0.5424  1 Hg 2.08
11 Pd 0.0000 0.0000 0.0000  4 F 1.98-2.01
12 Rb 0.0000 0.0000 0.5000  8 F 2.76-3.05

The calculation puts the magnetization at 1.00 μB per cell. The uncorrected formation energy comes out at -1.598 eV per atom. For the calculated total energy, the calculation gives -3.41 eV/atom.

=====

(4)
Material: HgPdRhF2
Method: DFT, PBE
State: relaxed

Lattice parameters (Å, degrees): 4.0020 5.6905 4.0020 90.00 90.00 90.00
With the nearest neighbours (Å) after each atom.
Fractional coordinates of all 5 atoms:
1 Hg 0.0000 0.5000 0.0000  4 Pd 2.83, 2 Rh 2.85
2 F 0.0000 0.0000 0.5000  2 Rh 2.00
3 F 0.5000 0.0000 0.0000  2 Rh 2.00
4 Pd 0.5000 0.5000 0.5000  4 Hg 2.83
5 Rh 0.0000 0.0000 0.0000  4 F 2.00

The calculation puts the magnetization at 0.49 μB per cell. The uncorrected formation energy comes out at -0.426 eV per atom. For the calculated total energy, the calculation gives -3.74 eV/atom.

=====

> Number 4 is which compound?

HgPdRhF2

=====

> Which of these has the highest uncorrected formation energy?

HgPdRhF2

=====

> Among the records above, which one has the lowest magnetization?

HgPdRhF2